BaPbAu4: relaxed, GGA-PBE.

Output
Symmetry   No. 216
Distance to the lowest polymorph of the same formula   0.0158 eV per atom
Volume   23.77 Å³ per atom
DFT formation energy   -2.14 eV per formula unit

a = 5.865 Å, b = 5.865 Å, c = 5.865 Å
α = 60.00°, β = 60.00°, γ = 60.00°
Fractional coordinates of all 6 atoms:
Au 0.625 0.625 0.625
Ba 0.250 0.250 0.250
Au 0.625 0.124 0.625
Pb 0.000 0.000 0.000
Au 0.625 0.625 0.124
Au 0.124 0.625 0.625